one | ! MnCoAu GGA-PBE optimized geometry; values from VASP
! Symmetry   P3m1 (156)
&SYSTEM
  ibrav = 0, nat = 3, ntyp = 3
/
ATOMIC_SPECIES
Mn 54.94 Mn.upf
Au 196.97 Au.upf
Co 58.93 Co.upf
CELL_PARAMETERS angstrom
2.8265 0.0000 0.0000
-1.4133 2.4478 0.0000
0.0000 0.0000 6.3337
ATOMIC_POSITIONS crystal
Mn 0.6667 0.3333 0.6414
Au 0.0000 0.0000 0.0029
Co 0.3333 0.6667 0.3557

=====

two | ! MnCoAu GGA-PBE optimized geometry; values from VASP
! Symmetry   F-43m (216)
&SYSTEM
  ibrav = 0, nat = 3, ntyp = 3
/
ATOMIC_SPECIES
Co 58.93 Co.upf
Au 196.97 Au.upf
Mn 54.94 Mn.upf
CELL_PARAMETERS angstrom
4.1189 0.0000 0.0000
2.0595 3.5671 0.0000
2.0595 1.1890 3.3631
ATOMIC_POSITIONS crystal
Co 0.7500 0.7500 0.7500
Au 0.5000 0.5000 0.5000
Mn 0.0000 0.0000 0.0000

=====

three | ! MnCoAu GGA-PBE optimized geometry; values from VASP
! Symmetry   I4mm (107)
&SYSTEM
  ibrav = 0, nat = 3, ntyp = 3
/
ATOMIC_SPECIES
Au 196.97 Au.upf
Mn 54.94 Mn.upf
Co 58.93 Co.upf
CELL_PARAMETERS angstrom
5.0505 0.1799 -0.2640
3.0965 3.9939 0.2640
-3.9546 -2.3190 2.1431
ATOMIC_POSITIONS crystal
Au 0.9992 0.9992 0.0000
Mn 0.6836 0.6836 0.0000
Co 0.3172 0.3172 0.0000

=====

Most stable structure, least stable structure: three, two.

=====

one | ! MnCo3Au GGA-PBE optimized geometry; values from VASP
! Symmetry   Pm-3m (221)
&SYSTEM
  ibrav = 0, nat = 5, ntyp = 3
/
ATOMIC_SPECIES
Au 196.97 Au.upf
Co 58.93 Co.upf
Mn 54.94 Mn.upf
CELL_PARAMETERS angstrom
-0.3485 -0.1554 4.1501
1.8247 -3.7469 0.0129
3.7307 1.8181 0.3813
ATOMIC_POSITIONS crystal
Au 0.5000 0.5000 0.5000
Co 0.5000 0.0000 0.0000
Mn 0.0000 0.0000 0.0000
Co 0.0000 0.5000 0.0000
Co 0.0000 0.0000 0.5000

=====

two | ! MnCo3Au GGA-PBE optimized geometry; values from VASP
! Symmetry   Pm-3m (221)
&SYSTEM
  ibrav = 0, nat = 5, ntyp = 3
/
ATOMIC_SPECIES
Au 196.97 Au.upf
Co 58.93 Co.upf
Mn 54.94 Mn.upf
CELL_PARAMETERS angstrom
-4.2977 1.7706 0.2957
-1.6922 -4.2520 0.8655
0.5990 0.6912 4.5668
ATOMIC_POSITIONS crystal
Au 0.0000 0.0000 0.0000
Co 0.0000 0.0000 0.5000
Mn 0.5000 0.5000 0.5000
Co 0.0000 0.5000 0.0000
Co 0.5000 0.0000 0.0000

=====

Most stable structure, least stable structure: one, two.

=====

one | ! Co3MoAu GGA-PBE optimized geometry; values from VASP
! Symmetry   Pm-3m (221)
&SYSTEM
  ibrav = 0, nat = 5, ntyp = 3
/
ATOMIC_SPECIES
Mo 95.94 Mo.upf
Au 196.97 Au.upf
Co 58.93 Co.upf
CELL_PARAMETERS angstrom
-2.1256 3.4080 -1.7542
-3.7390 -1.4023 1.8064
0.8433 2.3725 3.5874
ATOMIC_POSITIONS crystal
Mo 0.0000 0.0000 0.0000
Au 0.5000 0.5000 0.5000
Co 0.0000 0.0000 0.5000
Co 0.0000 0.5000 0.0000
Co 0.5000 0.0000 0.0000

=====

two | ! Co3MoAu GGA-PBE optimized geometry; values from VASP
! Symmetry   Pm-3m (221)
&SYSTEM
  ibrav = 0, nat = 5, ntyp = 3
/
ATOMIC_SPECIES
Co 58.93 Co.upf
Au 196.97 Au.upf
Mo 95.94 Mo.upf
CELL_PARAMETERS angstrom
4.6043 0.0000 0.0000
0.0000 4.6043 0.0000
0.0000 0.0000 4.6043
ATOMIC_POSITIONS crystal
Co 0.0000 0.0000 0.5000
Au 0.0000 0.0000 0.0000
Co 0.5000 0.0000 0.0000
Mo 0.5000 0.5000 0.5000
Co 0.0000 0.5000 0.0000

=====

Most stable structure, least stable structure: one, two.